No. 1
Below is a geometry-optimized KMg2W structure, with properties calculated at the PBE level.

Cell lengths 5.487, 5.487, 2.876 Å; angles 89.98, 89.98, 90.16 degrees
Positions (direct):
Mg: 0.000 0.000 0.000
Mg: 0.500 0.500 0.000
W: 0.500 0.000 0.500
K: 0.000 0.500 0.500

Properties
As for the density of states at the Fermi level: 2.56 states/eV/f.u. The polymorph energy (0 for the lowest one) comes out at 278 meV/atom. The calculated volume is 21.643 Å³/atom.

***

No. 2
Below is a geometry-optimized KMgW2 structure, with properties calculated at the PBE level.

Cell lengths 4.779, 4.779, 4.779 Å; angles 120.00, 120.00, 90.00 degrees
Positions (direct):
W: 0.250 0.750 0.500
W: 0.000 0.000 0.000
Mg: 0.750 0.250 0.500
K: 0.500 0.500 0.000

Properties
As for the density of states at the Fermi level: 4.41 states/eV/f.u. The calculated volume is 19.292 Å³/atom. The value obtained for the total energy is -5.690 eV/atom.

***

No. 3
Below is a geometry-optimized KMg2W structure, with properties calculated at the PBE level.

Cell lengths 5.522, 5.522, 10.578 Å; angles 74.87, 74.87, 90.00 degrees
Positions (direct):
Mg: 0.375 0.198 0.750
Mg: 0.948 0.625 0.250
Mg: 0.875 0.052 0.750
Mg: 0.802 0.125 0.250
K: 0.500 0.500 0.000
K: 0.250 0.750 0.500
W: 0.000 0.000 0.000
W: 0.750 0.250 0.500

Properties
As for the density of states at the Fermi level: 2.93 states/eV/f.u. The polymorph energy (0 for the lowest one) comes out at 867 meV/atom. The calculated volume is 37.474 Å³/atom.

***

No. 4
Below is a geometry-optimized KMgW2 structure, with properties calculated at the PBE level.

Cell lengths 6.008, 6.008, 6.008 Å; angles 142.14, 142.14, 54.62 degrees
Positions (direct):
K: 0.750 0.250 0.500
Mg: 0.250 0.750 0.500
W: 0.000 0.000 0.000
W: 0.500 0.500 0.000

Properties
As for the density of states at the Fermi level: 3.90 states/eV/f.u. The calculated volume is 20.274 Å³/atom. The value obtained for the total energy is -5.622 eV/atom.

***

No. 5
Below is a geometry-optimized KMgW structure, with properties calculated at the PBE level.

Cell lengths 6.845, 6.845, 6.845 Å; angles 157.37, 138.94, 47.39 degrees
Positions (direct):
W: 0.714 0.714 0.000
Mg: 0.284 0.284 0.000
K: 0.002 0.002 0.000

Properties
As for the density of states at the Fermi level: 3.55 states/eV/f.u. The polymorph energy (0 for the lowest one) comes out at 236 meV/atom. The calculated volume is 26.950 Å³/atom.

***

No. 6
Below is a geometry-optimized KMg2W structure, with properties calculated at the PBE level.

Cell lengths 2.878, 2.878, 11.060 Å; angles 90.00, 90.00, 90.00 degrees
Positions (direct):
K: 0.500 0.500 0.731
Mg: 0.500 0.500 0.271
Mg: 0.000 0.000 0.036
W: 0.000 0.000 0.462

Properties
As for the density of states at the Fermi level: 2.62 states/eV/f.u. The polymorph energy (0 for the lowest one) comes out at 127 meV/atom. The calculated volume is 22.899 Å³/atom.

***

Total moment? In order: 0.00, 0.32, 3.71, 0.00, 0.31, 0.00 μB per formula unit.